A relaxed structure of AlCl2, computed with PBE.

Symmetry   No. 58
Formation energy without anion corrections   -84.0 kJ/mol of atoms
Total moment   0.00 μB/f.u.
Mass density   2.34 g/cm3
DOS at the Fermi energy   0.294 states/eV/atom

Lattice parameters (Å, degrees): 6.199 6.208 3.617 90.00 90.00 90.00
Atoms (fractional coordinates):
Al 0.000 0.000 0.000
Al 0.500 0.500 0.500
Cl 0.215 0.212 0.500
Cl 0.285 0.712 0.000
Cl 0.715 0.288 0.000
Cl 0.785 0.788 0.500